Record 1
Density functional theory data (PBE) for a relaxed structure of TbPm4S4.

a b c (Å): 8.901 8.901 5.672
angles (deg): 90.00 90.00 90.00
Space group I4/m (No. 87)
Asymmetric unit:
Tb  0.000  0.000  0.000 [2 per cell]
Pm  0.102  0.697  0.500 [8 per cell]
S  0.098  0.704  0.000 [8 per cell]

calculated density = 6.41 g/cm3
E = -56.185 eV per formula unit


Record 2
Density functional theory data (PBE) for a relaxed structure of Tb4PmS5.

a b c (Å): 3.947 5.580 19.766
angles (deg): 90.00 90.00 90.00
Space group Immm (No. 71)
Asymmetric unit:
Tb  0.000  0.000  0.100 [4 per cell]
Tb  0.000  0.000  0.299 [4 per cell]
Pm  0.000  0.000  0.500 [2 per cell]
S  0.000  0.500  0.103 [4 per cell]
S  0.000  0.500  0.301 [4 per cell]
S  0.000  0.500  0.500 [2 per cell]

calculated density = 7.18 g/cm3
E = -63.995 eV per formula unit


Record 3
Density functional theory data (PBE) for a relaxed structure of TbPm2S4.

a b c (Å): 7.986 8.074 11.162
angles (deg): 90.00 90.00 90.00
Space group Imma (No. 74)
Asymmetric unit:
Tb  0.250  0.250  0.250 [4 per cell]
Pm  0.000  0.000  0.000 [4 per cell]
Pm  0.250  0.250  0.750 [4 per cell]
S  0.000  0.006  0.253 [8 per cell]
S  0.244  0.250  0.003 [8 per cell]

calculated density = 5.33 g/cm3
relative energy among the computed polymorphs = 0.0 meV per atom


no.,total magnetization (Bohr magnetons per cell)
1,0.000
2,0.000
3,0.000